## Rb3Sn4Hg2 (PBE-GGA)

Data for an optimized crystal structure of Rb3Sn4Hg2.

Lattice parameters (Å, degrees): 5.354 7.295 10.424 69.45 70.02 67.01
Atoms (fractional coordinates):
Rb: 0.609 0.121 0.643
Rb: 0.000 0.000 0.000
Rb: 0.391 0.879 0.357
Sn: 0.277 0.378 0.046
Sn: 0.886 0.530 0.651
Sn: 0.114 0.470 0.349
Sn: 0.723 0.622 0.954
Hg: 0.720 0.353 0.264
Hg: 0.280 0.647 0.736

Properties
The symmetry is P-1 (2). Its formation energy is -0.13 eV per atom. The raw total energy comes out at -20.65 eV for the cell shown.


## RbSn3Hg (PBE-GGA)

Data for an optimized crystal structure of RbSn3Hg.

Lattice parameters (Å, degrees): 6.261 6.261 6.261 90.00 90.00 90.00
Atoms (fractional coordinates):
Hg: 0.500 0.500 0.500
Rb: 0.000 0.000 0.000
Sn: 0.000 0.500 0.000
Sn: 0.000 0.000 0.500
Sn: 0.500 0.000 0.000

Properties
The symmetry is Pm-3m (221). Its formation energy is 1.20 eV per atom. The raw total energy comes out at -7.27 eV for the cell shown.


## RbSn3Hg (PBE-GGA)

Data for an optimized crystal structure of RbSn3Hg.

Lattice parameters (Å, degrees): 5.783 5.783 5.783 90.00 90.00 90.00
Atoms (fractional coordinates):
Hg: 0.000 0.000 0.000
Rb: 0.500 0.500 0.500
Sn: 0.000 0.500 0.000
Sn: 0.000 0.000 0.500
Sn: 0.500 0.000 0.000

Properties
The symmetry is Pm-3m (221). Its formation energy is 0.27 eV per atom. The raw total energy comes out at -11.92 eV for the cell shown.